Record 1
RbInNiHg2: relaxed, GGA-PBE.

Cell and atoms, written as extended XYZ:
```
5
Lattice="5.271 0.000 0.000 0.000 5.271 0.000 0.000 0.000 5.022" Properties=species:S:1:pos:R:3 pbc="T T T"
Rb 2.636 2.636 2.511
In 0.000 0.000 2.511
Hg 2.636 0.000 0.000
Hg 0.000 2.636 0.000
Ni 0.000 0.000 0.000
```

crystal system: tetragonal
total moment: 0.000 μB/cell
DOS at the Fermi energy: 0.46 states/eV per atom
DFT total energy: -0.156 Ry/atom
DFT formation energy: -0.49 eV per formula unit



Record 2
FeSiRu2: relaxed, GGA-PBE.

Cell and atoms, written as extended XYZ:
```
4
Lattice="-1.766 0.183 -4.659 -4.334 -2.309 -0.868 2.389 3.573 2.527" Properties=species:S:1:pos:R:3 pbc="T T T"
Si -1.214 1.346 -2.448
Ru -3.218 -1.122 -2.916
Ru -5.932 -2.067 -5.375
Fe -2.497 0.101 -0.552
```

crystal system: orthorhombic
total moment: 2.698 μB/cell
DOS at the Fermi energy: 0.79 states/eV per atom
DFT total energy: -0.606 Ry/atom
formation energy from raw total energies: -3.1 kcal/mol of atoms



Record 3
NiPtSCl2: relaxed, GGA-PBE.

Cell and atoms, written as extended XYZ:
```
5
Lattice="-2.101 1.891 -3.360 2.856 -1.807 -2.803 -2.833 -3.858 -0.399" Properties=species:S:1:pos:R:3 pbc="T T T"
Cl -1.051 0.945 -1.680
Ni 0.000 0.000 0.000
S -1.416 -1.929 -0.200
Pt -1.039 -1.887 -3.281
Cl 1.428 -0.903 -1.401
```

crystal system: tetragonal
E above lowest polymorph: 0 meV per atom
total moment: 0.944 μB/cell
DOS at the Fermi energy: 1.38 states/eV per atom
DFT total energy: -0.247 Ry/atom
formation energy from raw total energies: 12.9 kcal/mol of atoms



Record 4
Na2Ca2Br: relaxed, GGA-PBE.

Cell and atoms, written as extended XYZ:
```
10
Lattice="7.740 0.000 0.000 0.000 7.740 0.000 0.000 0.000 6.448" Properties=species:S:1:pos:R:3 pbc="T T T"
Br 0.000 0.000 0.000
Na 1.169 2.701 0.000
Ca 6.450 2.580 3.224
Ca 5.161 6.450 3.224
Ca 1.291 5.161 3.224
Na 2.701 6.571 0.000
Na 5.039 1.169 0.000
Na 6.571 5.039 0.000
Ca 2.580 1.291 3.224
Br 3.870 3.870 0.000
```

crystal system: tetragonal
E above lowest polymorph: 106 meV per atom
total moment: 0.000 μB/cell
DOS at the Fermi energy: 0.71 states/eV per atom
DFT total energy: -0.144 Ry/atom
formation energy from raw total energies: -6.8 kcal/mol of atoms